Record 1
Ac2HoAs3Pt12 | PBE-GGA | optimized geometry

Lattice parameters (Å, degrees): 8.5137 8.5137 18.9895 90.00 90.00 120.00
Last column: nearest neighbours and their distance in Å.
Space group R-3m (No. 166, hexagonal axes)
Symmetry-distinct sites (fractional):
Ac1 0.0000 0.0000 0.1073 (multiplicity 6)  6 Pt 2.98-3.03
Ho1 0.0000 0.0000 0.5000 (multiplicity 3)  6 Pt 2.69
As1 0.0000 0.5000 0.0000 (multiplicity 9)  6 Pt 2.43-2.44
Pt1 0.0177 0.5088 0.8718 (multiplicity 18)  1 As 2.44, 1 Ho 2.69
Pt2 0.0284 0.5142 0.3648 (multiplicity 18)  2 As 2.43

E_form   -350 meV per atom


Record 2
Pr2Cu3Rh | PBE-GGA | optimized geometry

Lattice parameters (Å, degrees): 7.7178 8.6178 14.8546 90.00 90.00 90.00
Last column: nearest neighbours and their distance in Å.
Space group Fmmm (No. 69)
Symmetry-distinct sites (fractional):
Pr1 0.2448 0.0000 0.0000 (multiplicity 8)  2 Rh 3.07, 10 Cu 3.12-3.15
Pr2 0.2500 0.2500 0.2500 (multiplicity 8)  8 Cu 3.15-3.16, 4 Rh 3.17
Cu1 0.0000 0.0000 0.3345 (multiplicity 8)  2 Cu 2.44, 1 Rh 2.55
Cu2 0.0000 0.2436 0.4183 (multiplicity 16)  2 Cu 2.43-2.44, 1 Rh 2.52
Rh1 0.0000 0.0000 0.1631 (multiplicity 8)  3 Cu 2.52-2.55

E_form   -320 meV per atom


Record 3
FeTcTe2 | PBE-GGA | optimized geometry

Lattice parameters (Å, degrees): 6.8294 6.8294 6.8294 90.00 90.00 90.00
Last column: nearest neighbours and their distance in Å.
Space group F-43m (No. 216)
Symmetry-distinct sites (fractional):
Fe1 0.0000 0.0000 0.0000 (multiplicity 4)  4 Tc 2.96, 4 Te 2.96
Tc1 0.2500 0.2500 0.2500 (multiplicity 4)  4 Fe 2.96, 4 Te 2.96
Te1 0.0000 0.0000 0.5000 (multiplicity 4)  4 Tc 2.96, 4 Te 2.96
Te2 0.2500 0.2500 0.7500 (multiplicity 4)  4 Fe 2.96, 4 Te 2.96

ΔE_f (raw)   3.85 eV per formula unit


Record 4
Ru3Au | PBE-GGA | optimized geometry

Lattice parameters (Å, degrees): 5.5655 5.5655 4.4422 90.00 90.00 120.00
Last column: nearest neighbours and their distance in Å.
Space group P6_3/mmc (No. 194)
Symmetry-distinct sites (fractional):
Ru1 0.1642 0.3283 0.2500 (multiplicity 6)  8 Ru 2.73-2.82, 4 Au 2.76-2.78
Au1 0.3333 0.6667 0.7500 (multiplicity 2)  12 Ru 2.76-2.78

E_form   404 meV per atom


Record 5
BaLiInPt | PBE-GGA | optimized geometry

Lattice parameters (Å, degrees): 8.2181 4.7390 6.2481 90.00 116.36 90.00
Last column: nearest neighbours and their distance in Å.
Space group Cm (No. 8)
Symmetry-distinct sites (fractional):
Ba1 0.0000 0.0000 0.0000 (multiplicity 2)  1 Li 3.12, 1 Pt 3.24
Li1 0.3151 0.5000 0.4432 (multiplicity 2)  3 In 2.80, 3 Pt 2.84, 1 Ba 3.12
In1 0.0163 0.5000 0.5461 (multiplicity 2)  3 Pt 2.74, 3 Li 2.80
Pt1 0.1940 0.0000 0.5781 (multiplicity 2)  3 In 2.74, 3 Li 2.84

E_form   -584 meV per atom


Record 6
Cs3IrF | PBE-GGA | optimized geometry

Lattice parameters (Å, degrees): 5.7748 5.7748 5.7748 90.00 90.00 90.00
Last column: nearest neighbours and their distance in Å.
Space group Pm-3m (No. 221)
Symmetry-distinct sites (fractional):
Cs1 0.0000 0.0000 0.5000 (multiplicity 3)  2 F 2.89
Ir1 0.5000 0.5000 0.5000 (multiplicity 1)  12 Cs 4.08
F1 0.0000 0.0000 0.0000 (multiplicity 1)  6 Cs 2.89

ΔE_f (raw)   -2.22 eV per formula unit


Record 7
Hg12Bi5Sb3 | PBE-GGA | optimized geometry

Lattice parameters (Å, degrees): 17.4810 17.4810 17.4810 90.00 90.00 90.00
Last column: nearest neighbours and their distance in Å.
Space group Ia-3d (No. 230)
Symmetry-distinct sites (fractional):
Hg1 0.0210 0.0845 0.6519 (multiplicity 96)  2 Bi 2.90-3.06, 1 Sb 2.95
Bi1 0.0000 0.0000 0.0000 (multiplicity 16)  6 Hg 3.06
Bi2 0.0000 0.2500 0.3750 (multiplicity 24)  4 Hg 2.90
Sb1 0.0000 0.2500 0.1250 (multiplicity 24)  4 Hg 2.95

ΔE_f (raw)   3.58 eV per formula unit


Record 8
PrDy2Zr | PBE-GGA | optimized geometry

Lattice parameters (Å, degrees): 7.8366 7.8366 7.8366 90.00 90.00 90.00
Last column: nearest neighbours and their distance in Å.
Space group Fm-3m (No. 225)
Symmetry-distinct sites (fractional):
Pr1 0.0000 0.0000 0.0000 (multiplicity 4)  8 Dy 3.39
Dy1 0.2500 0.2500 0.2500 (multiplicity 8)  4 Zr 3.39, 4 Pr 3.39
Zr1 0.0000 0.0000 0.5000 (multiplicity 4)  8 Dy 3.39

E_form   233 meV per atom


Record 9
Sr3Al2Bi4 | PBE-GGA | optimized geometry

Lattice parameters (Å, degrees): 14.9184 11.6127 7.4018 90.00 91.74 90.00
Last column: nearest neighbours and their distance in Å.
Space group C2/c (No. 15)
Symmetry-distinct sites (fractional):
Sr1 0.0000 0.1006 0.2500 (multiplicity 4)  6 Bi 3.34-3.51
Sr2 0.1248 0.3760 0.9780 (multiplicity 8)  6 Bi 3.38-3.76
Al1 0.2064 0.1230 0.5788 (multiplicity 8)  4 Bi 2.78-2.86
Bi1 0.1106 0.3277 0.4779 (multiplicity 8)  2 Al 2.83-2.86
Bi2 0.1537 0.0891 0.9315 (multiplicity 8)  2 Al 2.78-2.80

E_form   -533 meV per atom


Record 10
LaBe2As | PBE-GGA | optimized geometry

Lattice parameters (Å, degrees): 3.8815 5.9495 6.8639 90.00 90.00 90.00
Last column: nearest neighbours and their distance in Å.
Space group Imm2 (No. 44)
Symmetry-distinct sites (fractional):
La1 0.0000 0.0000 0.0000 (multiplicity 2)  5 Be 2.99-3.32, 4 As 3.05-3.16
Be1 0.0000 0.0000 0.5159 (multiplicity 2)  2 Be 2.20, 2 As 2.27
Be2 0.0000 0.5000 0.1678 (multiplicity 2)  2 Be 2.20, 1 As 2.23
As1 0.0000 0.5000 0.8436 (multiplicity 2)  3 Be 2.23-2.27

E_form   -137 meV per atom


Number 6 is which compound?
Cs3IrF


Number 4 is which compound?
Ru3Au